The following is a DFT calculation (PBE) of an optimized crystal structure of HoMgIn4.

For the formation energy, the calculation gives -7 meV/atom. The calculation puts the energy above the lowest structure with this stoichiometry at 0.31 eV/f.u. Its density of states at the Fermi level is 3.833 states/eV per cell.

The structure belongs to space group P4/mmm (No. 123); the cell edges are 4.679, 4.679 and 7.907 Å and the angles 90.00°, 90.00° and 90.00°. The asymmetric unit holds Ho at (0.000, 0.000, 0.000), Mg at (0.500, 0.500, 0.500) and In at (0.000, 0.500, 0.271).



The following is a DFT calculation (PBE) of an optimized crystal structure of Ho8Mg3In2.

For the formation energy, the calculation gives -4 meV/atom. Its density of states at the Fermi level is 32.271 states/eV per cell.

The structure belongs to space group C2/m (No. 12); the cell edges are 16.705, 8.373 and 5.484 Å and the angles 90.00°, 90.02° and 90.00°. The asymmetric unit holds Ho at (0.106, 0.000, 0.000), Ho at (0.111, 0.297, 0.500), Ho at (0.187, 0.500, 0.001), Mg at (0.000, 0.000, 0.500), Mg at (0.000, 0.327, 0.000) and In at (0.222, 0.000, 0.499).



The following is a DFT calculation (PBE) of an optimized crystal structure of Ho4MgIn3.

For the formation energy, the calculation gives -384 meV/atom. Its density of states at the Fermi level is 12.969 states/eV per cell.

The structure belongs to space group I4/mmm (No. 139); the cell edges are 5.292, 5.292 and 14.965 Å and the angles 90.00°, 90.00° and 90.00°. The asymmetric unit holds Ho at (0.000, 0.500, 0.125), Mg at (0.000, 0.000, 0.000), In at (0.000, 0.000, 0.247) and In at (0.000, 0.000, 0.500).



The following is a DFT calculation (PBE) of an optimized crystal structure of HoMg4In.

For the formation energy, the calculation gives -8 meV/atom. Its density of states at the Fermi level is 12.320 states/eV per cell.

The structure belongs to space group F-43m (No. 216); the cell edges are 8.422, 8.422 and 8.422 Å and the angles 90.00°, 90.00° and 90.00°. The asymmetric unit holds Ho at (0.000, 0.000, 0.000), Mg at (0.125, 0.125, 0.625) and In at (0.250, 0.250, 0.250).



The following is a DFT calculation (PBE) of an optimized crystal structure of HoMg5In4.

For the formation energy, the calculation gives -46 meV/atom. Its density of states at the Fermi level is 7.529 states/eV per cell.

The structure belongs to space group Immm (No. 71); the cell edges are 4.963, 9.165 and 10.858 Å and the angles 90.00°, 90.00° and 90.00°. The asymmetric unit holds Ho at (0.000, 0.000, 0.000), Mg at (0.000, 0.325, 0.224), Mg at (0.000, 0.500, 0.000), In at (0.000, 0.000, 0.301) and In at (0.000, 0.260, 0.500).



The following is a DFT calculation (PBE) of an optimized crystal structure of HoMgIn2.

For the formation energy, the calculation gives -243 meV/atom. Its density of states at the Fermi level is 6.370 states/eV per cell.

The structure belongs to space group R-3m (No. 166, hexagonal axes); the cell edges are 4.8196, 4.8196 and 15.1884 Å and the angles 90.00°, 90.00° and 120.00°. The asymmetric unit holds Ho at (0.0000, 0.0000, 0.0000), Mg at (0.0000, 0.0000, 0.5000) and In at (0.0000, 0.0000, 0.2318).



The following is a DFT calculation (PBE) of an optimized crystal structure of HoMg2In6.

For the formation energy, the calculation gives -54 meV/atom. Its density of states at the Fermi level is 5.570 states/eV per cell.

The structure belongs to space group Amm2 (No. 38); the cell edges are 4.785, 10.063 and 10.023 Å and the angles 90.00°, 90.00° and 90.00°. The asymmetric unit holds Ho at (0.000, 0.000, 0.000), Mg at (0.500, 0.166, 0.541), In at (0.000, 0.000, 0.434), In at (0.000, 0.246, 0.213), In at (0.500, 0.000, 0.224) and In at (0.500, 0.141, 0.836).



The following is a DFT calculation (PBE) of an optimized crystal structure of HoMg4In15.

For the formation energy, the calculation gives -100 meV/atom. Its density of states at the Fermi level is 8.815 states/eV per cell.

The structure belongs to space group P4/mmm (No. 123); the cell edges are 4.634, 4.634 and 23.236 Å and the angles 90.00°, 90.00° and 90.00°. The asymmetric unit holds Ho at (0.000, 0.000, 0.000), Mg at (0.000, 0.000, 0.200), Mg at (0.000, 0.000, 0.400), In at (0.000, 0.500, 0.102), In at (0.000, 0.500, 0.300), In at (0.000, 0.500, 0.500), In at (0.500, 0.500, 0.000), In at (0.500, 0.500, 0.201) and In at (0.500, 0.500, 0.400).



The following is a DFT calculation (PBE) of an optimized crystal structure of Ho4MgIn5.

For the formation energy, the calculation gives -387 meV/atom. Its density of states at the Fermi level is 6.446 states/eV per cell.

The structure belongs to space group P4/mmm (No. 123); the cell edges are 3.589, 3.589 and 19.865 Å and the angles 90.00°, 90.00° and 90.00°. The asymmetric unit holds Ho at (0.000, 0.000, 0.104), Ho at (0.000, 0.000, 0.312), Mg at (0.000, 0.000, 0.500), In at (0.500, 0.500, 0.000), In at (0.500, 0.500, 0.208) and In at (0.500, 0.500, 0.414).



The following is a DFT calculation (PBE) of an optimized crystal structure of HoMgIn.

For the formation energy, the calculation gives -217 meV/atom. Its density of states at the Fermi level is 3.628 states/eV per cell.

The structure belongs to space group I4mm (No. 107); the cell edges are 3.393, 3.393 and 13.186 Å and the angles 90.00°, 90.00° and 90.00°. The asymmetric unit holds Ho at (0.000, 0.000, 0.000), Mg at (0.000, 0.000, 0.680) and In at (0.000, 0.000, 0.332).



The following is a DFT calculation (PBE) of an optimized crystal structure of Ho2Mg3In4.

For the formation energy, the calculation gives -238 meV/atom. Its density of states at the Fermi level is 25.688 states/eV per cell.

The structure belongs to space group Cmce (No. 64); the cell edges are 6.317, 16.963 and 8.301 Å and the angles 90.00°, 90.00° and 90.00°. The asymmetric unit holds Ho at (0.000, 0.100, 0.102), Mg at (0.000, 0.000, 0.500), Mg at (0.250, 0.235, 0.750), In at (0.000, 0.170, 0.474) and In at (0.250, 0.062, 0.750).



The following is a DFT calculation (PBE) of an optimized crystal structure of HoMgIn.

For the formation energy, the calculation gives -184 meV/atom. Its density of states at the Fermi level is 9.104 states/eV per cell.

The structure belongs to space group F-43m (No. 216); the cell edges are 7.015, 7.015 and 7.015 Å and the angles 90.00°, 90.00° and 90.00°. The asymmetric unit holds Ho at (0.000, 0.000, 0.000), Mg at (0.000, 0.000, 0.500) and In at (0.250, 0.250, 0.750).



Number 1: total DFT energy (no corrections) -17.17 eV per formula unit, theoretical density 6.2 g/cm3. Number 2: total DFT energy (no corrections) -46.93 eV per formula unit, theoretical density 7.0 g/cm3. Number 3: total DFT energy (no corrections) -31.19 eV per formula unit, theoretical density 8.2 g/cm3. Number 4: total DFT energy (no corrections) -13.74 eV per formula unit, theoretical density 4.2 g/cm3. Number 5: total DFT energy (no corrections) -23.97 eV per formula unit, theoretical density 5.0 g/cm3. Number 6: total DFT energy (no corrections) -12.62 eV per formula unit, theoretical density 6.8 g/cm3. Number 7: total DFT energy (no corrections) -24.68 eV per formula unit, theoretical density 6.2 g/cm3. Number 8: total DFT energy (no corrections) -54.04 eV per formula unit, theoretical density 6.6 g/cm3. Number 9: total DFT energy (no corrections) -37.47 eV per formula unit, theoretical density 8.2 g/cm3. Number 10: total DFT energy (no corrections) -9.56 eV per formula unit, theoretical density 6.7 g/cm3. Number 11: total DFT energy (no corrections) -27.03 eV per formula unit, theoretical density 6.4 g/cm3. Number 12: total DFT energy (no corrections) -9.46 eV per formula unit, theoretical density 5.8 g/cm3.